In2MoBr: relaxed, PBE-GGA.

abc: 5.201 5.201 5.201
angles: 60.00 60.00 60.00
Fractional positions:
1 Mo 0.500 0.500 0.500
2 Br 0.000 0.000 0.000
3 In 0.250 0.250 0.250
4 In 0.750 0.750 0.750

density of states at the Fermi level	3.4	states/eV/cell
electronic total energy	-3.66	eV per atom
polymorph energy (0 for the lowest one)	0.6708	eV/atom
formation energy from raw total energies	3.3	eV per formula unit